Record 1
The following is a PBE calculation of an optimized crystal structure of VCrSiAu, from Alexandria via LeMat-Bulk.

Calculated volume, Å³ per atom: 14.98
E_tot, eV per atom: -6.8862
Relative energy among the computed polymorphs, eV/f.u.: 0.14

Cell: 3.3197 3.0581 11.8025 Å, 90.00 90.01 90.00°
With the nearest neighbours (Å) after each atom.
Fractional coordinates of all 8 atoms:
Cr (0.7858, 0.0000, 0.7414)  1 Si 2.44, 4 V 2.61
Si (0.7856, 0.0000, 0.9483)  1 Cr 2.44, 2 Au 2.48, 4 V 2.52
V (0.2856, 0.0000, 0.3531)  4 Si 2.52, 4 Cr 2.61
Au (0.2857, 0.0000, 0.1043)  2 Si 2.48
Au (0.2857, 0.5000, 0.6043)  2 Si 2.48
V (0.2856, 0.5000, 0.8531)  4 Si 2.52, 4 Cr 2.61
Si (0.7856, 0.5000, 0.4483)  1 Cr 2.44, 2 Au 2.48, 4 V 2.52
Cr (0.7858, 0.5000, 0.2414)  1 Si 2.44, 4 V 2.61


Record 2
The following is a PBE calculation of an optimized crystal structure of AlRe2, from Alexandria via LeMat-Bulk.

Calculated volume, Å³ per atom: 14.79
E_tot, eV per atom: -9.6831

Cell: 5.4632 5.4632 6.0860 Å, 75.67 75.67 30.35°
With the nearest neighbours (Å) after each atom.
Fractional coordinates of all 6 atoms:
Re (0.6875, 0.6875, 0.3723)  3 Al 2.68-2.72, 9 Re 2.68-2.95
Re (0.9750, 0.9750, 0.3010)  7 Re 2.61-2.86, 4 Al 2.67-2.77
Al (0.6447, 0.6447, 0.9576)  7 Re 2.67-2.77, 5 Al 2.80-2.96
Re (0.3125, 0.3125, 0.6277)  3 Al 2.68-2.72, 9 Re 2.68-2.95
Al (0.3553, 0.3553, 0.0424)  7 Re 2.67-2.77, 5 Al 2.80-2.96
Re (0.0250, 0.0250, 0.6990)  7 Re 2.61-2.86, 4 Al 2.67-2.77


Record 3
The following is a PBE calculation of an optimized crystal structure of U2WC, from Alexandria via LeMat-Bulk.

Calculated volume, Å³ per atom: 17.72
E_tot, eV per atom: -10.3205
Relative energy among the computed polymorphs, eV/f.u.: 1.59

Cell: 5.0308 5.0308 4.3463 Å, 54.64 54.64 60.00°
With the nearest neighbours (Å) after each atom.
Fractional coordinates of all 4 atoms:
C (0.0000, 0.0000, 0.0000)  2 U 2.23
U (0.7702, 0.7702, 0.6895)  1 C 2.23
W (0.5000, 0.5000, 0.5000)  2 U 2.62
U (0.2298, 0.2298, 0.3105)  1 C 2.23


Record 4
The following is a PBE calculation of an optimized crystal structure of RbNbN2O, from Alexandria via LeMat-Bulk.

Calculated volume, Å³ per atom: 15.05
E_tot, eV per atom: -4.0681

Cell: 4.3222 4.3222 4.0279 Å, 90.00 90.00 90.00°
With the nearest neighbours (Å) after each atom.
Fractional coordinates of all 5 atoms:
Rb (0.0000, 0.0000, 0.0000)  2 O 2.01, 4 N 2.16
O (0.0000, 0.0000, 0.5000)  2 Rb 2.01
Nb (0.5000, 0.5000, 0.5000)  8 N 2.95, 4 O 3.06
N (0.5000, 0.0000, 0.0000)  2 Rb 2.16
N (0.0000, 0.5000, 0.0000)  2 Rb 2.16


Record 5
The following is a PBE calculation of an optimized crystal structure of InRePb2, from Alexandria via LeMat-Bulk.

Calculated volume, Å³ per atom: 24.27
E_tot, eV per atom: -5.0506
Relative energy among the computed polymorphs, eV/f.u.: 0.34

Cell: 10.8487 10.8487 10.8487 Å, 17.17 17.17 17.17°
With the nearest neighbours (Å) after each atom.
Fractional coordinates of all 4 atoms:
Pb (0.0058, 0.0058, 0.0058)  6 Pb 3.24, 3 In 3.46
Re (0.4966, 0.4966, 0.4966)  3 In 2.84, 3 Pb 2.94
In (0.7634, 0.7634, 0.7634)  3 Re 2.84
Pb (0.2342, 0.2342, 0.2342)  3 Re 2.94, 6 Pb 3.24


Record 6
The following is a PBE calculation of an optimized crystal structure of TbSmTlNi, from Alexandria via LeMat-Bulk.

Calculated volume, Å³ per atom: 24.60
E_tot, eV per atom: -4.5943

Cell: 5.1820 5.1820 5.1820 Å, 60.00 60.00 60.00°
With the nearest neighbours (Å) after each atom.
Fractional coordinates of all 4 atoms:
Tl (0.5000, 0.5000, 0.5000)  4 Tb 3.17, 4 Sm 3.17
Tb (0.7500, 0.7500, 0.7500)  4 Tl 3.17, 4 Ni 3.17
Sm (0.2500, 0.2500, 0.2500)  4 Tl 3.17, 4 Ni 3.17
Ni (0.0000, 0.0000, 0.0000)  4 Sm 3.17, 4 Tb 3.17


Record 7
The following is a PBE calculation of an optimized crystal structure of Cs4H2IBr, from Alexandria via LeMat-Bulk.

Calculated volume, Å³ per atom: 43.94
E_tot, eV per atom: -2.5561

Cell: 4.9519 8.7368 8.5979 Å, 70.89 90.00 90.00°
With the nearest neighbours (Å) after each atom.
Fractional coordinates of all 8 atoms:
Cs (0.0000, 0.2164, 0.2515)  3 H 3.31-3.41, 2 Br 3.67
Br (0.5000, 0.5000, 0.0000)  6 Cs 3.67-3.68
Cs (0.5000, 0.2085, 0.7733)  3 H 3.31-3.41, 1 Br 3.68
H (0.5000, 0.0000, 0.5000)  6 Cs 3.41
I (0.0000, 0.5000, 0.5000)  6 Cs 3.76-3.77
Cs (0.5000, 0.7915, 0.2267)  3 H 3.31-3.41, 1 Br 3.68
Cs (0.0000, 0.7836, 0.7485)  3 H 3.31-3.41, 2 Br 3.67
H (0.0000, 0.0000, 0.0000)  6 Cs 3.31


Record 8
The following is a PBE calculation of an optimized crystal structure of BaNa2WN4, from Alexandria via LeMat-Bulk.

Calculated volume, Å³ per atom: 17.68
E_tot, eV per atom: -6.5838

Cell: 6.0382 5.7704 5.7704 Å, 84.51 58.43 58.43°
With the nearest neighbours (Å) after each atom.
Fractional coordinates of all 8 atoms:
Na (0.5000, 0.7501, 0.2499)  4 N 2.38
N (0.0000, 0.4499, 0.1821)  1 W 1.88
N (0.6320, 0.5498, 0.8181)  1 W 1.88
W (0.0000, 0.5000, 0.5000)  4 N 1.88
N (0.3680, 0.1819, 0.4502)  1 W 1.88
N (0.0000, 0.8179, 0.5501)  1 W 1.88
Ba (0.0000, 0.0002, 0.9998)  4 N 2.89
Na (0.5000, 0.2501, 0.7499)  4 N 2.38


Record 9
The following is a PBE calculation of an optimized crystal structure of KY2GaN, from Alexandria via LeMat-Bulk.

Calculated volume, Å³ per atom: 26.94
E_tot, eV per atom: -5.1540

Cell: 4.7566 5.9535 4.7566 Å, 90.00 90.00 90.00°
With the nearest neighbours (Å) after each atom.
Fractional coordinates of all 5 atoms:
N (0.0000, 0.0000, 0.0000)  4 Y 2.38
Y (0.5000, 0.0000, 0.0000)  2 N 2.38
Ga (0.0000, 0.5000, 0.0000)  2 N 2.98
Y (0.0000, 0.0000, 0.5000)  2 N 2.38
K (0.5000, 0.5000, 0.5000)  4 Ga 3.36


Record 10
The following is a PBE calculation of an optimized crystal structure of CaRhSe2, from Alexandria via LeMat-Bulk.

Calculated volume, Å³ per atom: 19.63
E_tot, eV per atom: -4.6637
Relative energy among the computed polymorphs, eV/f.u.: 1.32

Cell: 4.8062 4.8062 4.8062 Å, 60.00 60.00 60.00°
With the nearest neighbours (Å) after each atom.
Fractional coordinates of all 4 atoms:
Se (0.7500, 0.7500, 0.7500)  4 Rh 2.94, 4 Ca 2.94
Rh (0.5000, 0.5000, 0.5000)  8 Se 2.94
Se (0.2500, 0.2500, 0.2500)  4 Ca 2.94, 4 Rh 2.94
Ca (0.0000, 0.0000, 0.0000)  8 Se 2.94


Record 11
The following is a PBE calculation of an optimized crystal structure of Pm2ScTl9, from Alexandria via LeMat-Bulk.

Calculated volume, Å³ per atom: 27.20
E_tot, eV per atom: -3.3293

Cell: 4.7795 4.7795 14.2863 Å, 90.00 90.00 90.00°
With the nearest neighbours (Å) after each atom.
Fractional coordinates of all 12 atoms:
Tl (0.5000, 0.0000, 0.1594)  8 Tl 3.30-3.43, 2 Sc 3.30, 2 Pm 3.41
Tl (0.0000, 0.5000, 0.8406)  2 Sc 3.30, 8 Tl 3.30-3.43, 2 Pm 3.41
Tl (0.5000, 0.5000, 0.6687)  4 Pm 3.38, 8 Tl 3.39-3.43
Tl (0.0000, 0.5000, 0.5000)  8 Tl 3.38-3.39, 4 Pm 3.41
Pm (0.0000, 0.0000, 0.6703)  12 Tl 3.38-3.41
Tl (0.5000, 0.0000, 0.5000)  8 Tl 3.38-3.39, 4 Pm 3.41
Tl (0.5000, 0.0000, 0.8406)  8 Tl 3.30-3.43, 2 Sc 3.30, 2 Pm 3.41
Tl (0.5000, 0.5000, 0.0000)  8 Tl 3.30, 4 Sc 3.38
Tl (0.5000, 0.5000, 0.3313)  4 Pm 3.38, 8 Tl 3.39-3.43
Pm (0.0000, 0.0000, 0.3297)  12 Tl 3.38-3.41
Tl (0.0000, 0.5000, 0.1594)  2 Sc 3.30, 8 Tl 3.30-3.43, 2 Pm 3.41
Sc (0.0000, 0.0000, 0.0000)  12 Tl 3.30-3.38


Record 12
The following is a PBE calculation of an optimized crystal structure of NaRhPbAu, from Alexandria via LeMat-Bulk.

Calculated volume, Å³ per atom: 19.32
E_tot, eV per atom: -3.9334

Cell: 4.7813 4.7813 4.7813 Å, 60.00 60.00 60.00°
With the nearest neighbours (Å) after each atom.
Fractional coordinates of all 4 atoms:
Au (0.0000, 0.0000, 0.0000)  4 Na 2.93, 4 Rh 2.93
Na (0.2500, 0.2500, 0.2500)  4 Pb 2.93, 4 Au 2.93
Pb (0.5000, 0.5000, 0.5000)  4 Na 2.93, 4 Rh 2.93
Rh (0.7500, 0.7500, 0.7500)  4 Au 2.93, 4 Pb 2.93


Record 13
The following is a PBE calculation of an optimized crystal structure of CaTePb2, from Alexandria via LeMat-Bulk.

Calculated volume, Å³ per atom: 33.04
E_tot, eV per atom: -3.6159
Relative energy among the computed polymorphs, eV/f.u.: 0.36

Cell: 6.5755 4.4800 4.4862 Å, 90.68 90.00 90.00°
With the nearest neighbours (Å) after each atom.
Fractional coordinates of all 4 atoms:
Ca (0.5000, 0.7500, 0.7500)  4 Te 3.15-3.19
Te (0.5000, 0.2500, 0.2500)  4 Ca 3.15-3.19
Pb (0.0000, 0.4999, 0.4999)  4 Pb 3.15-3.19
Pb (0.0000, 0.0001, 0.0001)  4 Pb 3.15-3.19